No. 1
# La2ZrAu

A PBEsol-optimized structure of La2ZrAu (SCAN, Alexandria via LeMat-Bulk). Values from VASP.

Results
Total energy ... -46.70 eV/atom
Space group ... R-3m (166)
Energy of formation ... -187 meV per atom
ΔE to the lowest computed polymorph ... 10.2 meV/atom
Calculated volume ... 27.19 Å³/atom

Quantum ESPRESSO input file:
```
&SYSTEM
  ibrav = 0, nat = 4, ntyp = 3
/
ATOMIC_SPECIES
Au 196.97 Au.upf
La 138.91 La.upf
Zr 91.22 Zr.upf
ATOMIC_POSITIONS angstrom
Au 3.5516 2.0505 4.9776
La 1.7758 1.0253 2.6532
La 5.3274 3.0758 7.3019
Zr 0.0000 0.0000 0.0000
CELL_PARAMETERS angstrom
3.5516 0.0000 0.0000
1.7758 3.0758 0.0000
1.7758 1.0253 9.9551
```

No. 2
# KTl3Rh

A PBEsol-optimized structure of KTl3Rh (SCAN, Alexandria via LeMat-Bulk). Values from VASP.

Results
Total energy ... -51.97 eV/atom
Space group ... Pm-3m (221)
Energy of formation ... -132 meV per atom
Calculated volume ... 28.83 Å³/atom

Quantum ESPRESSO input file:
```
&SYSTEM
  ibrav = 0, nat = 5, ntyp = 3
/
ATOMIC_SPECIES
Tl 204.38 Tl.upf
Rh 102.91 Rh.upf
K 39.10 K.upf
ATOMIC_POSITIONS angstrom
Tl 0.0000 2.6215 0.0000
Tl 0.0000 0.0000 2.6215
Tl 2.6215 0.0000 0.0000
Rh 0.0000 0.0000 0.0000
K 2.6215 2.6215 2.6215
CELL_PARAMETERS angstrom
5.2431 0.0000 0.0000
0.0000 5.2431 0.0000
0.0000 0.0000 5.2431
```

No. 3
# SiMo3Rh

A PBEsol-optimized structure of SiMo3Rh (SCAN, Alexandria via LeMat-Bulk). Values from VASP.

Results
Total energy ... -28.53 eV/atom
Space group ... Pm-3m (221)
ΔE to the lowest computed polymorph ... 0.0 meV/atom
Formation energy without anion corrections ... 1159 meV/atom
Calculated volume ... 16.83 Å³/atom

Quantum ESPRESSO input file:
```
&SYSTEM
  ibrav = 0, nat = 5, ntyp = 3
/
ATOMIC_SPECIES
Mo 95.94 Mo.upf
Rh 102.91 Rh.upf
Si 28.09 Si.upf
ATOMIC_POSITIONS angstrom
Mo 0.0000 2.1912 0.0000
Mo 0.0000 0.0000 2.1912
Mo 2.1912 0.0000 0.0000
Rh 2.1912 2.1912 2.1912
Si 0.0000 0.0000 0.0000
CELL_PARAMETERS angstrom
4.3824 0.0000 0.0000
0.0000 4.3824 0.0000
0.0000 0.0000 4.3824
```

No. 4
# CsLiPt2

A PBEsol-optimized structure of CsLiPt2 (SCAN, Alexandria via LeMat-Bulk). Values from VASP.

Results
Total energy ... -44.44 eV/atom
Space group ... Fm-3m (225)
Energy of formation ... 707 meV per atom
Calculated volume ... 19.93 Å³/atom

Quantum ESPRESSO input file:
```
&SYSTEM
  ibrav = 0, nat = 4, ntyp = 3
/
ATOMIC_SPECIES
Cs 132.91 Cs.upf
Pt 195.08 Pt.upf
Li 6.94 Li.upf
ATOMIC_POSITIONS angstrom
Cs -4.5697 1.5744 -3.4123
Pt -2.2848 0.7872 -1.7061
Pt -6.8545 2.3616 -5.1184
Li 0.0000 0.0000 0.0000
CELL_PARAMETERS angstrom
-3.5263 3.2429 -0.6202
-1.3297 1.2994 -4.4587
-4.2833 -1.3935 -1.7457
```